Crystalline Ba3CrO6 at its relaxed geometry, computed with PBE with a Hubbard U.

a = 6.3841 Å, b = 8.2852 Å, c = 8.2852 Å
α = 103.24°, β = 90.00°, γ = 90.00°
Last column: nearest neighbours and their distance in Å.
Element x y z (fractional)
O1 0.2208 0.6662 0.6567  4 Ba 2.44-2.62
O2 0.7598 0.1958 0.8042  1 Cr 1.67
O3 0.6256 0.6276 0.1099  1 Cr 1.67
Ba1 0.9770 0.6926 0.8904  2 O 2.44-2.45
Cr1 0.5208 0.8150 0.1850  4 O 1.67-1.68
O4 0.1256 0.1099 0.6276  1 Cr 1.67
O5 0.0964 0.0610 0.9390  1 Cr 1.68
O6 0.1256 0.3724 0.8901  1 Cr 1.67
Ba2 0.4770 0.3074 0.1096  2 O 2.44-2.45
Ba3 0.9615 0.5941 0.4059  4 O 2.60-2.62
O7 0.7208 0.3338 0.3433  4 Ba 2.44-2.62
O8 0.7208 0.6567 0.6662  4 Ba 2.44-2.62
O9 0.2208 0.3433 0.3338  4 Ba 2.44-2.62
Ba4 0.4770 0.8904 0.6926  2 O 2.44-2.45
O10 0.6256 0.8901 0.3724  1 Cr 1.67
O11 0.2598 0.8042 0.1958  1 Cr 1.67
Ba5 0.9770 0.1096 0.3074  2 O 2.44-2.45
O12 0.5964 0.9390 0.0610  1 Cr 1.68
Ba6 0.4615 0.4059 0.5941  4 O 2.60-2.62
Cr2 0.0208 0.1850 0.8150  4 O 1.67-1.68

Output
VASP energy = -6.50 eV per atom
crystal system = orthorhombic